Entry 1:
Zn2CuAu4 after structural relaxation, computed with GGA-PBE.

Cell and atoms, written as POSCAR:
```
Zn2CuAu4
1.0
-2.8191 2.8191 3.8364
2.8191 -2.8191 3.8364
2.8191 2.8191 -3.8364
Zn Cu Au
2 1 4
Direct
0.0000 0.5000 0.5000 Zn
0.5000 0.0000 0.5000 Zn
0.0000 0.0000 0.0000 Cu
0.0000 0.0000 0.5000 Au
0.0000 0.5000 0.0000 Au
0.5000 0.0000 0.0000 Au
0.5000 0.5000 0.5000 Au
```

- Space group: I4/mmm (139)
- ΔE_f: -3.039 kcal/mol of atoms
- Crystal system: tetragonal

Entry 2:
Hf5Sb9 after structural relaxation, computed with GGA-PBE.

Cell and atoms, written as POSCAR:
```
Hf5Sb9
1.0
8.8539 0.0000 0.0000
0.0000 8.8539 0.0000
0.0000 0.0000 8.7101
Hf Sb
10 18
Direct
0.0430 0.6444 0.2339 Hf
0.1444 0.9570 0.7661 Hf
0.2500 0.2500 0.2459 Hf
0.3556 0.5430 0.7661 Hf
0.4570 0.8556 0.2339 Hf
0.5430 0.1444 0.7661 Hf
0.6444 0.4570 0.2339 Hf
0.7500 0.7500 0.7541 Hf
0.8556 0.0430 0.2339 Hf
0.9570 0.3556 0.7661 Hf
0.0193 0.1697 0.4983 Sb
0.0536 0.6535 0.8801 Sb
0.1535 0.9464 0.1199 Sb
0.1697 0.4807 0.4983 Sb
0.2500 0.2500 0.8918 Sb
0.3303 0.0193 0.4983 Sb
0.3465 0.5536 0.1199 Sb
0.4464 0.8465 0.8801 Sb
0.4807 0.3303 0.4983 Sb
0.5193 0.6697 0.5017 Sb
0.5536 0.1535 0.1199 Sb
0.6535 0.4464 0.8801 Sb
0.6697 0.9807 0.5017 Sb
0.7500 0.7500 0.1082 Sb
0.8303 0.5193 0.5017 Sb
0.8465 0.0536 0.8801 Sb
0.9464 0.3465 0.1199 Sb
0.9807 0.8303 0.5017 Sb
```

- Space group: P4/n (85)
- ΔE_f (raw): -41.7 kJ/mol of atoms
- Crystal system: tetragonal

Entry 3:
UP3 after structural relaxation, computed with GGA-PBE.

Cell and atoms, written as POSCAR:
```
UP3
1.0
4.0000 0.0000 0.0000
0.0000 4.0000 0.0000
0.0000 0.0000 4.0000
U P
1 3
Direct
0.0000 0.0000 0.0000 U
0.0000 0.5000 0.5000 P
0.5000 0.0000 0.5000 P
0.5000 0.5000 0.0000 P
```

- Space group: Pm-3m (221)
- ΔE_f: -10.204 kcal/mol of atoms
- Crystal system: cubic